# 1
First-principles (PBE) data for an optimized crystal structure of LaCr3Bi, as listed in Alexandria.

Cell and atoms, written as extended XYZ:
```
5
Lattice="5.265 0.000 0.000 0.000 5.265 0.000 0.000 0.000 5.265" Properties=species:S:1:pos:R:3 pbc="T T T"
La 0.000 0.000 0.000
Cr 0.000 2.633 2.633
Cr 2.633 0.000 2.633
Cr 2.633 2.633 0.000
Bi 2.633 2.633 2.633
```

## Properties
- Relative energy among the computed polymorphs: 0.000 eV/atom
- Space group: Pm-3m, No. 221
- Total magnetization: 2.483 μB per atom
- ΔE_f: 1.100 eV/atom
- Energy: -6.436 eV per atom


# 2
First-principles (PBE) data for an optimized crystal structure of La2CrNiBi, as listed in Alexandria.

Cell and atoms, written as extended XYZ:
```
5
Lattice="5.564 0.000 0.000 0.000 5.564 0.000 0.000 0.000 4.436" Properties=species:S:1:pos:R:3 pbc="T T T"
La 0.000 2.782 0.000
La 2.782 0.000 0.000
Cr 0.000 0.000 2.218
Ni 0.000 0.000 0.000
Bi 2.782 2.782 2.218
```

## Properties
- Space group: P4/mmm, No. 123
- Total magnetization: 0.076 μB per atom
- ΔE_f: 0.068 eV/atom
- Energy: -5.761 eV per atom


Question: energy of number 1 (LaCr3Bi)?
Answer: -6.436 eV per atom


Question: Number 2 is which compound?
Answer: La2CrNiBi


Question: Look up the total magnetization of the second one.
Answer: 0.076 μB per atom